# AcSmMgCd, optimized geometry, DFT PBE
data_AcSmMgCd
_symmetry_space_group_name_H-M 'P 4 m m'
_symmetry_Int_Tables_number 99
_cell_length_a 3.9551
_cell_length_b 3.9551
_cell_length_c 7.9564
_cell_angle_alpha 90.00
_cell_angle_beta 90.00
_cell_angle_gamma 90.00
loop_
_symmetry_equiv_pos_as_xyz
'x,y,z'
'-y,x,z'
'-x,-y,z'
'y,-x,z'
'-x,y,z'
'y,x,z'
'x,-y,z'
'-y,-x,z'
loop_
_atom_site_label
_atom_site_fract_x
_atom_site_fract_y
_atom_site_fract_z
Ac1 0.0000 0.0000 0.0000
Sm1 0.0000 0.0000 0.4973
Mg1 0.5000 0.5000 0.7232
Cd1 0.5000 0.5000 0.2809
# E_form   -73 kJ/mol of formula units
# Energy relative to the lowest polymorph listed for this composition   0 meV/atom
# Fermi-level density of states   5.11 states/eV per cell